# 1
Entry from Alexandria via LeMat-Bulk: an optimized crystal structure of ErTm4Ga15 (PBE).

Lattice parameters (Å, degrees): 4.246 4.246 21.134 90.00 90.00 90.00
Sites, in units of the cell vectors:
Er  0.000  0.000  0.000
Tm  0.000  0.000  0.200
Tm  0.000  0.000  0.400
Tm  0.000  0.000  0.600
Tm  0.000  0.000  0.800
Ga  0.000  0.500  0.100
Ga  0.000  0.500  0.300
Ga  0.000  0.500  0.500
Ga  0.000  0.500  0.700
Ga  0.000  0.500  0.900
Ga  0.500  0.000  0.100
Ga  0.500  0.000  0.300
Ga  0.500  0.000  0.500
Ga  0.500  0.000  0.700
Ga  0.500  0.000  0.900
Ga  0.500  0.500  0.000
Ga  0.500  0.500  0.200
Ga  0.500  0.500  0.400
Ga  0.500  0.500  0.600
Ga  0.500  0.500  0.800

As for the symmetry: P4/mmm. For the formation enthalpy at 0 K, the calculation gives -0.520 eV/atom.


# 2
Entry from Alexandria via LeMat-Bulk: an optimized crystal structure of OsRuSe (PBE).

Lattice parameters (Å, degrees): 2.918 3.926 7.914 90.00 90.00 90.00
Sites, in units of the cell vectors:
Os  0.000  0.000  0.000
Os  0.500  0.500  0.500
Ru  0.000  0.000  0.652
Ru  0.500  0.500  0.152
Se  0.000  0.000  0.327
Se  0.500  0.500  0.827

The value obtained for the formation energy without anion corrections is 0.695 eV/atom. As for the symmetry: Imm2. As for the distance to the lowest polymorph of the same formula: 0.92 eV per formula unit.


# 3
Entry from Alexandria via LeMat-Bulk: an optimized crystal structure of La2Y3Tm6Sc (PBE).

Lattice parameters (Å, degrees): 6.118 6.118 11.710 94.98 94.98 120.00
Sites, in units of the cell vectors:
La  0.166  0.834  0.000
La  0.834  0.166  0.000
Y  0.000  0.000  0.500
Y  0.334  0.666  0.500
Y  0.666  0.334  0.500
Tm  0.087  0.416  0.749
Tm  0.254  0.254  0.251
Tm  0.416  0.087  0.749
Tm  0.584  0.913  0.251
Tm  0.746  0.746  0.749
Tm  0.913  0.584  0.251
Sc  0.500  0.500  0.000

As for the symmetry: C2/m. For the formation enthalpy at 0 K, the calculation gives 0.036 eV/atom.


# 4
Entry from Alexandria via LeMat-Bulk: an optimized crystal structure of CuSb2P (PBE).

Lattice parameters (Å, degrees): 5.423 5.423 5.914 90.00 90.00 90.00
Sites, in units of the cell vectors:
Cu  0.000  0.000  0.000
Cu  0.500  0.500  0.500
Sb  0.000  0.500  0.000
Sb  0.000  0.500  0.500
Sb  0.500  0.000  0.000
Sb  0.500  0.000  0.500
P  0.000  0.000  0.500
P  0.500  0.500  0.000

The value obtained for the formation energy without anion corrections is 0.285 eV/atom. As for the symmetry: I4/mmm.


# 5
Entry from Alexandria via LeMat-Bulk: an optimized crystal structure of TbThRuRh (PBE).

Lattice parameters (Å, degrees): 7.002 7.002 7.002 90.00 90.00 90.00
Sites, in units of the cell vectors:
Tb  0.000  0.000  0.000
Tb  0.000  0.500  0.500
Tb  0.500  0.000  0.500
Tb  0.500  0.500  0.000
Th  0.000  0.000  0.500
Th  0.000  0.500  0.000
Th  0.500  0.000  0.000
Th  0.500  0.500  0.500
Ru  0.250  0.250  0.250
Ru  0.250  0.750  0.750
Ru  0.750  0.250  0.750
Ru  0.750  0.750  0.250
Rh  0.250  0.250  0.750
Rh  0.250  0.750  0.250
Rh  0.750  0.250  0.250
Rh  0.750  0.750  0.750

As for the symmetry: F-43m. For the formation enthalpy at 0 K, the calculation gives -0.601 eV/atom.


# 6
Entry from Alexandria via LeMat-Bulk: an optimized crystal structure of RbInO2 (PBE).

Lattice parameters (Å, degrees): 6.239 6.239 6.239 90.00 90.00 90.00
Sites, in units of the cell vectors:
Rb  0.000  0.000  0.000
Rb  0.000  0.500  0.500
Rb  0.500  0.000  0.500
Rb  0.500  0.500  0.000
In  0.000  0.000  0.500
In  0.000  0.500  0.000
In  0.500  0.000  0.000
In  0.500  0.500  0.500
O  0.250  0.250  0.250
O  0.250  0.250  0.750
O  0.250  0.750  0.250
O  0.250  0.750  0.750
O  0.750  0.250  0.250
O  0.750  0.250  0.750
O  0.750  0.750  0.250
O  0.750  0.750  0.750

The value obtained for the formation energy without anion corrections is -0.518 eV/atom. As for the symmetry: Fm-3m.


| no. | N(E_F) (states/eV per atom) | magnetization (μB per atom) |
| --- | --- | --- |
| 1 | 0.37 | 0.00 |
| 2 | 1.17 | 0.00 |
| 3 | 1.44 | 0.00 |
| 4 | 0.73 | 0.00 |
| 5 | 0.63 | 0.00 |
| 6 | 0.84 | 0.00 |